# 1
Density functional theory data (PBE) for a geometry-optimized Ac2PmGa4Pt3 structure.

Summary:
E, eV per atom: -5.17

Cell: 4.4061 4.4061 11.7506 Å, 90.00 90.00 90.00°
Closest atoms and distances in Å follow each position.
Positions (direct):
Ac 0.5000 0.0000 0.2257  4 Pt 3.36, 8 Ga 3.36-3.45
Ga 0.5000 0.5000 0.0000  4 Pt 2.61
Pt 0.0000 0.0000 0.5000  4 Ga 2.95, 4 Pm 3.12
Ga 0.5000 0.0000 0.6668  1 Pt 2.52
Ga 0.0000 0.5000 0.3332  1 Pt 2.52
Pt 0.5000 0.0000 0.8816  5 Ga 2.52-2.61
Pt 0.0000 0.5000 0.1184  5 Ga 2.52-2.61
Ga 0.0000 0.0000 0.0000  4 Pt 2.61
Ac 0.0000 0.5000 0.7743  4 Pt 3.36, 8 Ga 3.36-3.45
Pm 0.5000 0.5000 0.5000  4 Ga 2.95, 4 Pt 3.12



# 2
Density functional theory data (PBE) for a geometry-optimized AcPmGaPt structure.

Summary:
E, eV per atom: -5.17

Cell: 5.3091 5.3091 5.3091 Å, 60.00 60.00 60.00°
Closest atoms and distances in Å follow each position.
Positions (direct):
Pm 0.0000 0.0000 0.0000  4 Pt 3.25, 4 Ga 3.25
Ac 0.5000 0.5000 0.5000  4 Pt 3.25, 4 Ga 3.25
Ga 0.2500 0.2500 0.2500  4 Ac 3.25, 4 Pm 3.25
Pt 0.7500 0.7500 0.7500  4 Pm 3.25, 4 Ac 3.25



# 3
Density functional theory data (PBE) for a geometry-optimized Ac2PmGa3Pt4 structure.

Summary:
E, eV per atom: -5.59

Cell: 4.4417 4.4417 11.4017 Å, 90.00 90.00 90.00°
Closest atoms and distances in Å follow each position.
Positions (direct):
Ga 0.5000 0.0000 0.8854  5 Pt 2.56-2.58
Pt 0.5000 0.0000 0.6611  1 Ga 2.56
Ac 0.0000 0.5000 0.7717  8 Pt 3.38-3.42, 4 Ga 3.40
Pm 0.5000 0.5000 0.5000  4 Pt 2.88, 4 Ga 3.14
Ga 0.0000 0.0000 0.5000  4 Pt 2.88, 4 Pm 3.14
Ga 0.0000 0.5000 0.1146  5 Pt 2.56-2.58
Pt 0.0000 0.0000 0.0000  4 Ga 2.58
Pt 0.0000 0.5000 0.3389  1 Ga 2.56
Pt 0.5000 0.5000 0.0000  4 Ga 2.58
Ac 0.5000 0.0000 0.2283  8 Pt 3.38-3.42, 4 Ga 3.40



# 4
Density functional theory data (PBE) for a geometry-optimized AcPmGa2Rh2 structure.

Summary:
E, eV per atom: -5.70

Cell: 4.4184 4.4184 7.9978 Å, 90.00 90.00 120.00°
Closest atoms and distances in Å follow each position.
Positions (direct):
Pm 0.0000 0.0000 0.5000  6 Ga 3.12, 6 Rh 3.14
Rh 0.3333 0.6667 0.7286  3 Ga 2.55
Ac 0.0000 0.0000 0.0000  6 Rh 3.35, 6 Ga 3.37
Rh 0.6667 0.3333 0.2714  3 Ga 2.55
Ga 0.3333 0.6667 0.2751  3 Rh 2.55
Ga 0.6667 0.3333 0.7249  3 Rh 2.55



# 5
Density functional theory data (PBE) for a geometry-optimized AcPmGaRh structure.

Summary:
Energy above the most stable polymorph in this dataset, meV per atom: 137.6

Cell: 5.2537 5.2537 5.2537 Å, 60.00 60.00 60.00°
Closest atoms and distances in Å follow each position.
Positions (direct):
Ga 0.0000 0.0000 0.0000  4 Ac 3.22, 4 Pm 3.22
Rh 0.5000 0.5000 0.5000  4 Ac 3.22, 4 Pm 3.22
Ac 0.7500 0.7500 0.7500  4 Rh 3.22, 4 Ga 3.22
Pm 0.2500 0.2500 0.2500  4 Rh 3.22, 4 Ga 3.22



# 6
Density functional theory data (PBE) for a geometry-optimized AcPmGaRh structure.

Summary:
Energy above the most stable polymorph in this dataset, meV per atom: 0.0

Cell: 4.4942 4.4275 5.7702 Å, 90.00 112.92 90.00°
Closest atoms and distances in Å follow each position.
Positions (direct):
Pm 0.8638 0.5000 0.7277  3 Ga 3.07-3.23, 4 Rh 3.22
Rh 0.4250 0.0000 0.8500  2 Ga 2.64, 1 Ac 2.92
Ga 0.5604 0.5000 0.1208  2 Rh 2.64
Ac 0.1507 0.0000 0.3015  1 Rh 2.92



# 7
Density functional theory data (PBE) for a geometry-optimized AcPmGaSb structure.

Summary:
Energy relative to the elements, uncorrected, eV per atom: -0.587

Cell: 5.5311 5.5311 5.5311 Å, 60.00 60.00 60.00°
Closest atoms and distances in Å follow each position.
Positions (direct):
Sb 0.7500 0.7500 0.7500  4 Pm 3.39, 4 Ac 3.39
Ac 0.5000 0.5000 0.5000  4 Ga 3.39, 4 Sb 3.39
Ga 0.2500 0.2500 0.2500  4 Ac 3.39, 4 Pm 3.39
Pm 0.0000 0.0000 0.0000  4 Sb 3.39, 4 Ga 3.39



# 8
Density functional theory data (PBE) for a geometry-optimized AcTbPmGa structure.

Summary:
E, eV per atom: -4.10

Cell: 5.5348 5.5348 5.5348 Å, 60.00 60.00 60.00°
Closest atoms and distances in Å follow each position.
Positions (direct):
Tb 0.0000 0.0000 0.0000  4 Ga 3.39, 4 Ac 3.39
Ga 0.7500 0.7500 0.7500  4 Tb 3.39, 4 Pm 3.39
Ac 0.2500 0.2500 0.2500  4 Tb 3.39, 4 Pm 3.39
Pm 0.5000 0.5000 0.5000  4 Ga 3.39, 4 Ac 3.39



# 9
Density functional theory data (PBE) for a geometry-optimized AcPmTlGa structure.

Summary:
E, eV per atom: -3.95

Cell: 5.5480 5.5480 5.5480 Å, 60.00 60.00 60.00°
Closest atoms and distances in Å follow each position.
Positions (direct):
Tl 0.0000 0.0000 0.0000  4 Ac 3.40, 4 Pm 3.40
Ga 0.5000 0.5000 0.5000  4 Pm 3.40, 4 Ac 3.40
Ac 0.7500 0.7500 0.7500  4 Ga 3.40, 4 Tl 3.40
Pm 0.2500 0.2500 0.2500  4 Tl 3.40, 4 Ga 3.40



# 10
Density functional theory data (PBE) for a geometry-optimized AcPmYGa structure.

Summary:
E, eV per atom: -4.56

Cell: 5.5382 5.5382 5.5382 Å, 60.00 60.00 60.00°
Closest atoms and distances in Å follow each position.
Positions (direct):
Pm 0.2500 0.2500 0.2500  4 Ac 3.39, 4 Ga 3.39
Ac 0.0000 0.0000 0.0000  4 Y 3.39, 4 Pm 3.39
Y 0.7500 0.7500 0.7500  4 Ga 3.39, 4 Ac 3.39
Ga 0.5000 0.5000 0.5000  4 Y 3.39, 4 Pm 3.39



# 11
Density functional theory data (PBE) for a geometry-optimized AcPmZnGa structure.

Summary:
E, eV per atom: -3.66

Cell: 5.3732 5.3732 5.3732 Å, 60.00 60.00 60.00°
Closest atoms and distances in Å follow each position.
Positions (direct):
Pm 0.0000 0.0000 0.0000  4 Zn 3.29, 4 Ga 3.29
Zn 0.7500 0.7500 0.7500  4 Pm 3.29, 4 Ac 3.29
Ga 0.2500 0.2500 0.2500  4 Ac 3.29, 4 Pm 3.29
Ac 0.5000 0.5000 0.5000  4 Zn 3.29, 4 Ga 3.29



# 12
Density functional theory data (PBE) for a geometry-optimized AcPmZn2Ga2 structure.

Summary:
E, eV per atom: -3.44

Cell: 4.5340 4.5340 7.9896 Å, 90.00 90.00 120.00°
Closest atoms and distances in Å follow each position.
Positions (direct):
Ga 0.6667 0.3333 0.2800  3 Zn 2.62
Ac 0.0000 0.0000 0.0000  6 Ga 3.44, 6 Zn 3.49
Zn 0.3333 0.6667 0.2897  3 Ga 2.62
Zn 0.6667 0.3333 0.7103  3 Ga 2.62
Ga 0.3333 0.6667 0.7200  3 Zn 2.62
Pm 0.0000 0.0000 0.5000  6 Zn 3.11, 6 Ga 3.15



# 13
Density functional theory data (PBE) for a geometry-optimized AcPr3Ga structure.

Summary:
E, eV per atom: -4.46

Cell: 8.7669 9.0256 10.2057 Å, 122.51 90.00 90.00°
Closest atoms and distances in Å follow each position.
Positions (direct):
Pr 0.1118 0.0787 0.3208  3 Ga 3.08-3.40, 1 Pr 3.44
Ga 0.2179 0.9077 0.4970  6 Pr 3.07-3.40, 1 Ac 3.31
Pr 0.8882 0.9213 0.6792  3 Ga 3.08-3.40, 1 Pr 3.44
Pr 0.6118 0.9213 0.1792  3 Ga 3.08-3.40, 1 Pr 3.44
Pr 0.1889 0.6295 0.5912  1 Ga 3.14, 1 Pr 3.49
Ga 0.7179 0.0923 0.0030  6 Pr 3.07-3.40, 1 Ac 3.31
Ac 0.5719 0.6727 0.7725  2 Ga 3.31-3.46, 2 Pr 3.52-3.61
Pr 0.3882 0.0787 0.8208  3 Ga 3.08-3.40, 1 Pr 3.44
Ac 0.0719 0.3273 0.7275  2 Ga 3.31-3.46, 2 Pr 3.52-3.61
Pr 0.8111 0.3705 0.4088  1 Ga 3.14, 1 Pr 3.49
Pr 0.9521 0.7801 0.9663  2 Ga 3.07-3.34
Pr 0.6889 0.3705 0.9088  1 Ga 3.14, 1 Pr 3.49
Ac 0.4281 0.3273 0.2275  2 Ga 3.31-3.46, 2 Pr 3.52-3.61
Pr 0.4521 0.2199 0.5337  2 Ga 3.07-3.34
Pr 0.5479 0.7801 0.4663  2 Ga 3.07-3.34
Ac 0.9281 0.6727 0.2725  2 Ga 3.31-3.46, 2 Pr 3.52-3.61
Ga 0.7821 0.0923 0.5030  6 Pr 3.07-3.40, 1 Ac 3.31
Pr 0.0479 0.2199 0.0337  2 Ga 3.07-3.34
Ga 0.2821 0.9077 0.9970  6 Pr 3.07-3.40, 1 Ac 3.31
Pr 0.3111 0.6295 0.0912  1 Ga 3.14, 1 Pr 3.49



# 14
Density functional theory data (PBE) for a geometry-optimized AcPrGa2 structure.

Summary:
E, eV per atom: -4.22

Cell: 3.8400 3.8400 7.5834 Å, 90.00 90.00 90.00°
Closest atoms and distances in Å follow each position.
Positions (direct):
Ga 0.0000 0.0000 0.7702  4 Pr 3.23, 4 Ac 3.40, 1 Ga 3.49
Ac 0.5000 0.5000 0.5000  8 Ga 3.40, 2 Pr 3.79
Ga 0.0000 0.0000 0.2298  4 Pr 3.23, 4 Ac 3.40, 1 Ga 3.49
Pr 0.5000 0.5000 0.0000  8 Ga 3.23



# 15
Density functional theory data (PBE) for a geometry-optimized AcPr2Ga6 structure.

Summary:
Energy above the most stable polymorph in this dataset, meV per atom: 203.5

Cell: 4.5679 8.0000 8.0000 Å, 55.97 73.41 73.41°
Closest atoms and distances in Å follow each position.
Positions (direct):
Ga 0.0000 0.8259 0.1741  3 Ga 2.59-2.61
Ac 0.5000 0.5000 0.5000  12 Ga 3.35-3.63
Ga 0.0000 0.1741 0.8259  3 Ga 2.59-2.61
Ga 0.8204 0.4829 0.8763  1 Ga 2.59
Ga 0.8204 0.8763 0.4829  1 Ga 2.59
Ga 0.1796 0.1237 0.5171  1 Ga 2.59
Pr 0.3694 0.1306 0.1306  6 Ga 2.94-3.16
Ga 0.1796 0.5171 0.1237  1 Ga 2.59
Pr 0.6306 0.8694 0.8694  6 Ga 2.94-3.16



# 16
Density functional theory data (PBE) for a geometry-optimized AcPr5Ga4 structure.

Summary:
E, eV per atom: -4.19

Cell: 8.1589 7.7180 10.5717 Å, 90.00 90.00 90.00°
Closest atoms and distances in Å follow each position.
Positions (direct):
Pr 0.7185 0.7449 0.6935  3 Ga 3.03-3.11
Ga 0.9936 0.0000 0.2251  5 Pr 3.03-3.11, 1 Ac 3.14
Ac 0.2570 0.5000 0.5000  4 Ga 3.06-3.14
Ga 0.9936 0.0000 0.7749  5 Pr 3.03-3.11, 1 Ac 3.14
Ga 0.5460 0.3373 0.0000  1 Ga 2.51
Pr 0.2815 0.2449 0.8065  3 Ga 3.03-3.11
Pr 0.7185 0.7449 0.3065  3 Ga 3.03-3.11
Pr 0.2815 0.7551 0.1935  3 Ga 3.03-3.11
Ga 0.0064 0.5000 0.2749  5 Pr 3.03-3.11, 1 Ac 3.14
Ac 0.7430 0.0000 0.0000  4 Ga 3.06-3.14
Pr 0.2815 0.2449 0.1935  3 Ga 3.03-3.11
Pr 0.8997 0.5000 0.0000  4 Ga 3.03-3.15
Ga 0.4540 0.8373 0.5000  1 Ga 2.51
Pr 0.7185 0.2551 0.6935  3 Ga 3.03-3.11
Pr 0.1003 0.0000 0.5000  4 Ga 3.03-3.15
Ga 0.0064 0.5000 0.7251  5 Pr 3.03-3.11, 1 Ac 3.14
Pr 0.2815 0.7551 0.8065  3 Ga 3.03-3.11
Ga 0.4540 0.1627 0.5000  1 Ga 2.51
Ga 0.5460 0.6627 0.0000  1 Ga 2.51
Pr 0.7185 0.2551 0.3065  3 Ga 3.03-3.11



# 17
Density functional theory data (PBE) for a geometry-optimized AcPr3Ga2 structure.

Summary:
Energy above the most stable polymorph in this dataset, meV per atom: 49.9

Cell: 4.8576 10.3747 9.2313 Å, 123.04 90.00 103.54°
Closest atoms and distances in Å follow each position.
Positions (direct):
Ga 0.5020 0.0041 0.1491  1 Ga 2.71
Pr 0.9509 0.9017 0.5906  3 Ga 3.16-3.19, 3 Pr 3.23-3.54
Pr 0.0491 0.0983 0.4094  3 Ga 3.16-3.19, 3 Pr 3.23-3.54
Ac 0.1189 0.2378 0.0858  4 Ga 3.26-3.55, 2 Pr 3.61
Ac 0.8811 0.7622 0.9142  4 Ga 3.26-3.55, 2 Pr 3.61
Ga 0.2272 0.4543 0.7530  5 Pr 3.11-3.33
Pr 0.6476 0.2952 0.8133  4 Ga 3.13-3.33
Ga 0.4980 0.9959 0.8509  1 Ga 2.71
Pr 0.3181 0.6362 0.5710  2 Ga 3.05-3.11, 2 Pr 3.34
Ga 0.7728 0.5457 0.2470  5 Pr 3.11-3.33
Pr 0.6819 0.3638 0.4290  2 Ga 3.05-3.11, 2 Pr 3.34
Pr 0.3524 0.7048 0.1867  4 Ga 3.13-3.33



# 18
Density functional theory data (PBE) for a geometry-optimized AcPr2Ga structure.

Summary:
Energy above the most stable polymorph in this dataset, meV per atom: 0.0

Cell: 3.7428 3.7428 9.3415 Å, 90.00 90.00 90.00°
Closest atoms and distances in Å follow each position.
Positions (direct):
Ga 0.5000 0.5000 0.0000  8 Pr 3.24
Pr 0.0000 0.0000 0.7996  4 Ga 3.24
Pr 0.0000 0.0000 0.2004  4 Ga 3.24
Ac 0.5000 0.5000 0.5000  4 Ac 3.74, 8 Pr 3.85



# 19
Density functional theory data (PBE) for a geometry-optimized AcPr2Ga structure.

Summary:
Energy above the most stable polymorph in this dataset, meV per atom: 232.2

Cell: 5.6380 5.6380 5.6380 Å, 60.00 60.00 60.00°
Closest atoms and distances in Å follow each position.
Positions (direct):
Ac 0.0000 0.0000 0.0000  8 Pr 3.45
Pr 0.7500 0.7500 0.7500  4 Ac 3.45, 4 Ga 3.45
Ga 0.5000 0.5000 0.5000  8 Pr 3.45
Pr 0.2500 0.2500 0.2500  4 Ga 3.45, 4 Ac 3.45



# 20
Density functional theory data (PBE) for a geometry-optimized AcPr2Ga structure.

Summary:
Energy above the most stable polymorph in this dataset, meV per atom: 195.2

Cell: 5.1194 5.1194 6.6947 Å, 67.52 67.52 60.00°
Closest atoms and distances in Å follow each position.
Positions (direct):
Pr 0.2760 0.2760 0.1719  3 Ga 3.13
Ac 0.5000 0.5000 0.5000  6 Pr 3.55
Ga 0.0000 0.0000 0.0000  6 Pr 3.13
Pr 0.7240 0.7240 0.8281  3 Ga 3.13